This record from Alexandria describes an optimized crystal structure of Nd4AsS2Br. The functional is PBE.

a = 7.2638 Å, b = 4.1710 Å, c = 7.2684 Å
α = 90.00°, β = 109.38°, γ = 90.00°
Closest atoms and distances in Å follow each position.
Space group P2/m (No. 10)
Symmetry-distinct sites (fractional):
Nd1 0.2165 0.0000 0.2195 x2  3 S 2.78-2.96, 1 As 2.99
Nd2 0.2311 0.5000 0.7647 x2  3 S 2.77-2.95, 2 As 2.98
As1 0.5000 0.0000 0.0000 x1  6 Nd 2.98-2.99
S1 0.0000 0.0000 0.5000 x1  6 Nd 2.95-2.96
S2 0.0000 0.5000 0.0000 x1  6 Nd 2.77-2.78
Br1 0.5000 0.5000 0.5000 x1  6 Nd 3.16

Results
Raw formation energy, eV per atom: -1.712



This record from Alexandria describes an optimized crystal structure of AcYRuAu. The functional is PBE.

a = 7.3170 Å, b = 7.3170 Å, c = 7.3170 Å
α = 90.00°, β = 90.00°, γ = 90.00°
Closest atoms and distances in Å follow each position.
Space group F-43m (No. 216)
Symmetry-distinct sites (fractional):
Ac1 0.0000 0.0000 0.0000 x4  4 Ru 3.17, 4 Au 3.17
Y1 0.0000 0.0000 0.5000 x4  4 Ru 3.17, 4 Au 3.17
Ru1 0.2500 0.2500 0.7500 x4  4 Ac 3.17, 4 Y 3.17
Au1 0.2500 0.2500 0.2500 x4  4 Ac 3.17, 4 Y 3.17

Results
Energy of formation, eV/atom: -0.393



This record from Alexandria describes an optimized crystal structure of KThBi2Au2. The functional is PBE.

a = 4.7859 Å, b = 4.7859 Å, c = 9.5724 Å
α = 90.00°, β = 90.00°, γ = 120.00°
Closest atoms and distances in Å follow each position.
Space group P-3m1 (No. 164)
Symmetry-distinct sites (fractional):
K1 0.0000 0.0000 0.0000 x1  6 Bi 3.71
Th1 0.0000 0.0000 0.5000 x1  6 Au 3.17
Bi1 0.3333 0.6667 0.7410 x2  3 Au 2.87
Au1 0.3333 0.6667 0.3384 x2  3 Bi 2.87, 3 Th 3.17

Results
Energy of formation, eV/atom: -0.530



This record from Alexandria describes an optimized crystal structure of SrLa2Tl. The functional is PBE.

a = 8.2378 Å, b = 8.2378 Å, c = 8.2378 Å
α = 90.00°, β = 90.00°, γ = 90.00°
Closest atoms and distances in Å follow each position.
Space group F-43m (No. 216)
Symmetry-distinct sites (fractional):
Sr1 0.0000 0.0000 0.0000 x4  4 Tl 3.57, 4 La 3.57
La1 0.0000 0.0000 0.5000 x4  4 La 3.57, 4 Tl 3.57
La2 0.2500 0.2500 0.7500 x4  4 La 3.57, 4 Sr 3.57
Tl1 0.2500 0.2500 0.2500 x4  4 La 3.57, 4 Sr 3.57

Results
Polymorph energy (0 for the lowest one), kJ per mole of atoms: 19.0
Energy of formation, eV/atom: 0.020



This record from Alexandria describes an optimized crystal structure of RbNa15Hg4. The functional is PBE.

a = 5.0879 Å, b = 5.0879 Å, c = 24.9846 Å
α = 90.00°, β = 90.00°, γ = 90.00°
Closest atoms and distances in Å follow each position.
Space group P4/mmm (No. 123)
Symmetry-distinct sites (fractional):
Rb1 0.0000 0.0000 0.0000 x1  4 Na 3.60
Na1 0.0000 0.5000 0.1296 x4  6 Na 3.41-3.60, 2 Hg 3.41
Na2 0.0000 0.5000 0.3127 x4  4 Hg 3.43-3.46, 8 Na 3.44-3.60
Na3 0.0000 0.5000 0.5000 x2  8 Na 3.46-3.60, 4 Hg 3.46
Na4 0.5000 0.5000 0.0000 x1  4 Rb 3.60
Na5 0.5000 0.5000 0.2202 x2  8 Na 3.41-3.44, 4 Hg 3.60
Na6 0.5000 0.5000 0.4064 x2  8 Na 3.46, 4 Hg 3.60
Hg1 0.0000 0.0000 0.2206 x2  12 Na 3.41-3.60
Hg2 0.0000 0.0000 0.4063 x2  12 Na 3.46-3.60

Results
Energy of formation, eV/atom: -0.090



This record from Alexandria describes an optimized crystal structure of Tb4Pm7Tm. The functional is PBE.

a = 6.2995 Å, b = 7.2675 Å, c = 8.9720 Å
α = 89.99°, β = 76.48°, γ = 89.99°
Closest atoms and distances in Å follow each position.
Space group P-1 (No. 2)
Symmetry-distinct sites (fractional):
Tb1 0.2216 0.9999 0.3346 x2  4 Tb 3.57-3.64, 8 Pm 3.58-3.64
Tb2 0.2778 0.2492 0.6683 x2  8 Pm 3.56-3.64, 1 Tm 3.58, 3 Tb 3.59-3.64
Pm1 0.0000 0.0000 0.0000 x1  4 Tb 3.57-3.59, 6 Pm 3.58-3.64, 2 Tm 3.63
Pm2 0.2212 0.5000 0.3343 x2  6 Pm 3.57-3.64, 1 Tm 3.59, 5 Tb 3.60-3.64
Pm3 0.2786 0.7505 0.6671 x2  6 Tb 3.58-3.64, 5 Pm 3.58-3.64, 1 Tm 3.59
Pm4 0.4991 0.2491 0.9994 x2  3 Tb 3.56-3.60, 7 Pm 3.59-3.65, 2 Tm 3.63-3.65
Tm1 0.0000 0.5000 0.0000 x1  2 Tb 3.58, 10 Pm 3.59-3.65

Results
Polymorph energy (0 for the lowest one), kJ per mole of atoms: 0.0
Energy of formation, eV/atom: 0.006



| no. | DOS at the Fermi energy (states/eV/f.u.) |
| --- | --- |
| 1 | 2.59 |
| 2 | 2.46 |
| 3 | 3.39 |
| 4 | 3.90 |
| 5 | 5.26 |
| 6 | 15.26 |